Record 1
PBE BeCuSb, relaxed; formation energy without anion corrections = 673.9 meV/atom; M_tot = 0.000 μB per atom; total energy = -9.92 eV per formula unit; symmetry = No. 194
1.0
3.344 -1.931 0.000
0.000 3.861 0.000
0.000 0.000 8.951
Cu Sb Be
2 2 2
direct
0.667 0.333 0.750
0.333 0.667 0.250
0.000 0.000 0.500
0.000 0.000 0.000
0.000 0.000 0.750
0.000 0.000 0.250

---

Record 2
PBE BeCu3Sb, relaxed; formation energy without anion corrections = 1079.1 meV/atom; M_tot = 0.000 μB per atom; total energy = -14.74 eV per formula unit; symmetry = No. 221; ΔE to the lowest computed polymorph = 16.79 kcal/mol of atoms
1.0
4.851 0.000 0.000
0.000 4.851 0.000
0.000 0.000 4.851
Cu Sb Be
3 1 1
direct
0.000 0.500 0.000
0.000 0.000 0.500
0.500 0.000 0.000
0.000 0.000 0.000
0.500 0.500 0.500

---

Record 3
PBE BeCuSb, relaxed; formation energy without anion corrections = 166.9 meV/atom; M_tot = 0.000 μB per atom; total energy = -11.44 eV per formula unit; symmetry = No. 62
1.0
-3.646 6.098 2.698
-3.364 -1.809 -0.457
0.490 -2.508 6.331
Be Cu Sb
4 4 4
direct
0.013 0.750 0.581
0.987 0.250 0.419
0.513 0.750 0.919
0.487 0.250 0.081
0.077 0.750 0.260
0.577 0.750 0.240
0.923 0.250 0.740
0.423 0.250 0.760
0.177 0.750 0.893
0.677 0.750 0.607
0.823 0.250 0.107
0.323 0.250 0.393

---

Record 4
PBE BeCuSb, relaxed; formation energy without anion corrections = 313.1 meV/atom; M_tot = 0.000 μB per atom; total energy = -11.01 eV per formula unit; symmetry = No. 107
1.0
4.417 -0.007 -0.002
1.284 4.227 0.002
-2.848 -2.113 2.634
Cu Be Sb
1 1 1
direct
0.684 0.684 0.000
0.988 0.988 0.000
0.328 0.328 0.000

---

Record 5
PBE BeCuSb, relaxed; formation energy without anion corrections = 440.0 meV/atom; M_tot = 0.000 μB per atom; total energy = -10.62 eV per formula unit; symmetry = No. 194
1.0
-0.451 -0.352 4.052
-0.725 -3.214 -2.426
6.810 -1.978 0.586
Sb Be Cu
2 2 2
direct
0.667 0.333 0.250
0.333 0.667 0.750
0.667 0.333 0.750
0.333 0.667 0.250
0.000 0.000 0.500
0.000 0.000 0.000

---

Record 6
PBE BeCuSb, relaxed; formation energy without anion corrections = 408.5 meV/atom; M_tot = 0.000 μB per atom; total energy = -10.72 eV per formula unit; symmetry = No. 42
1.0
-2.192 3.104 -4.303
-1.584 0.357 -5.500
-2.991 -0.629 -0.023
Be Cu Sb
1 1 1
direct
0.952 0.952 0.048
0.383 0.383 0.617
0.665 0.665 0.335

---

> Which of these has the highest total energy?

number 1

---

> Among the records above, which one has the highest total energy?

number 1